1.
A relaxed Cs3YPt crystal. Source: Alexandria, functional PBE-GGA.

Results
Magnetization (μB/atom): 0.400
Energy relative to the elements (eV/atom): 0.5995

abc: 6.7189 6.7189 6.7189
angles: 90.00 90.00 90.00
With the nearest neighbours (Å) after each atom.
Atoms (fractional coordinates):
1 Cs 0.0000 0.0000 0.5000  2 Pt 3.36
2 Cs 0.0000 0.5000 0.0000  2 Pt 3.36
3 Cs 0.5000 0.0000 0.0000  2 Pt 3.36
4 Y 0.5000 0.5000 0.5000  12 Cs 4.75
5 Pt 0.0000 0.0000 0.0000  6 Cs 3.36


2.
A relaxed CsYPt3 crystal. Source: Alexandria, functional PBE-GGA.

Results
E above lowest polymorph (meV per atom): 954
Magnetization (μB/atom): 0.000
Energy relative to the elements (eV/atom): 1.3166

abc: 5.1807 5.1807 5.1807
angles: 90.00 90.00 90.00
With the nearest neighbours (Å) after each atom.
Atoms (fractional coordinates):
1 Cs 0.0000 0.0000 0.0000  6 Pt 2.59
2 Y 0.5000 0.5000 0.5000  12 Pt 3.66
3 Pt 0.0000 0.0000 0.5000  2 Cs 2.59
4 Pt 0.0000 0.5000 0.0000  2 Cs 2.59
5 Pt 0.5000 0.0000 0.0000  2 Cs 2.59


3.
A relaxed Cs2YPt crystal. Source: Alexandria, functional PBE-GGA.

Results
Magnetization (μB/atom): 0.000
Energy relative to the elements (eV/atom): 0.1466

abc: 9.7691 9.7691 9.7691
angles: 94.32 94.32 148.14
With the nearest neighbours (Å) after each atom.
Atoms (fractional coordinates):
1 Cs 0.3750 0.2195 0.3445  2 Pt 3.61
2 Cs 0.7805 0.1250 0.1555  2 Pt 3.61
3 Cs 0.8750 0.0305 0.6555  2 Pt 3.61
4 Cs 0.9695 0.6250 0.8445  2 Pt 3.61
5 Y 0.2500 0.7500 0.5000  2 Pt 2.68
6 Y 0.5000 0.5000 0.0000  2 Pt 2.68
7 Pt 0.0000 0.0000 0.0000  2 Y 2.68
8 Pt 0.7500 0.2500 0.5000  2 Y 2.68


4.
A relaxed Cs2YZrPt crystal. Source: Alexandria, functional PBE-GGA.

Results
Magnetization (μB/atom): 0.000
Energy relative to the elements (eV/atom): 1.5555

abc: 6.5790 6.5790 5.3143
angles: 90.00 90.00 90.00
With the nearest neighbours (Å) after each atom.
Atoms (fractional coordinates):
1 Cs 0.0000 0.5000 0.0000  2 Y 3.29
2 Cs 0.5000 0.0000 0.0000  2 Y 3.29
3 Y 0.0000 0.0000 0.0000  2 Zr 2.66
4 Zr 0.0000 0.0000 0.5000  2 Y 2.66
5 Pt 0.5000 0.5000 0.5000  8 Cs 4.23, 4 Zr 4.65


5.
A relaxed Cs2ZnPt crystal. Source: Alexandria, functional PBE-GGA.

Results
Magnetization (μB/atom): 0.000
Energy relative to the elements (eV/atom): -0.0818

abc: 9.4025 9.4025 9.4025
angles: 93.94 93.94 149.60
With the nearest neighbours (Å) after each atom.
Atoms (fractional coordinates):
1 Cs 0.3750 0.0516 0.1766  2 Pt 3.40
2 Cs 0.8016 0.6250 0.6766  2 Pt 3.40
3 Cs 0.8750 0.1984 0.8234  2 Pt 3.40
4 Cs 0.9484 0.1250 0.3234  2 Pt 3.40
5 Zn 0.2500 0.7500 0.5000  2 Pt 2.46
6 Zn 0.5000 0.5000 0.0000  2 Pt 2.46
7 Pt 0.0000 0.0000 0.0000  2 Zn 2.46
8 Pt 0.7500 0.2500 0.5000  2 Zn 2.46


6.
A relaxed Cs2Zn2Pt crystal. Source: Alexandria, functional PBE-GGA.

Results
Magnetization (μB/atom): 0.000
Energy relative to the elements (eV/atom): 0.0525

abc: 7.2123 7.2123 6.0823
angles: 90.00 90.00 90.00
With the nearest neighbours (Å) after each atom.
Atoms (fractional coordinates):
1 Cs 0.1763 0.3237 0.0000  2 Zn 3.33, 1 Cs 3.60
2 Cs 0.3237 0.8237 0.0000  2 Zn 3.33, 1 Cs 3.60
3 Cs 0.6763 0.1763 0.0000  2 Zn 3.33, 1 Cs 3.60
4 Cs 0.8237 0.6763 0.0000  2 Zn 3.33, 1 Cs 3.60
5 Zn 0.1910 0.6910 0.5000  2 Pt 2.62
6 Zn 0.3090 0.1910 0.5000  2 Pt 2.62
7 Zn 0.6910 0.8090 0.5000  2 Pt 2.62
8 Zn 0.8090 0.3090 0.5000  2 Pt 2.62
9 Pt 0.0000 0.0000 0.5000  4 Zn 2.62
10 Pt 0.5000 0.5000 0.5000  4 Zn 2.62


7.
A relaxed CsZnPt2 crystal. Source: Alexandria, functional PBE-GGA.

Results
Magnetization (μB/atom): 0.002
Energy relative to the elements (eV/atom): -0.0400

abc: 9.4118 9.4118 9.4118
angles: 147.76 147.76 46.24
With the nearest neighbours (Å) after each atom.
Atoms (fractional coordinates):
1 Cs 0.3750 0.6250 0.7500  8 Pt 3.64, 4 Zn 3.70
2 Cs 0.6250 0.3750 0.2500  8 Pt 3.64, 4 Zn 3.70
3 Zn 0.1250 0.8750 0.2500  4 Pt 2.53
4 Zn 0.8750 0.1250 0.7500  4 Pt 2.53
5 Pt 0.0000 0.0000 0.0000  2 Zn 2.53, 2 Pt 2.61
6 Pt 0.0000 0.0000 0.5000  2 Zn 2.53, 2 Pt 2.61
7 Pt 0.0000 0.5000 0.0000  2 Zn 2.53, 2 Pt 2.61
8 Pt 0.5000 0.0000 0.5000  2 Zn 2.53, 2 Pt 2.61


8.
A relaxed Cs2Zn4Pt crystal. Source: Alexandria, functional PBE-GGA.

Results
Magnetization (μB/atom): 0.000
Energy relative to the elements (eV/atom): -0.1064

abc: 10.1502 10.1502 10.1502
angles: 151.03 151.03 41.44
With the nearest neighbours (Å) after each atom.
Atoms (fractional coordinates):
1 Cs 0.1546 0.1546 0.0000  8 Zn 3.62-3.88
2 Cs 0.8454 0.8454 0.0000  8 Zn 3.62-3.88
3 Zn 0.0000 0.5000 0.5000  2 Pt 2.54
4 Zn 0.3711 0.3711 0.0000  1 Pt 2.45
5 Zn 0.5000 0.0000 0.5000  2 Pt 2.54
6 Zn 0.6289 0.6289 0.0000  1 Pt 2.45
7 Pt 0.5000 0.5000 0.0000  6 Zn 2.45-2.54


9.
A relaxed CsZrPt2 crystal. Source: Alexandria, functional PBE-GGA.

Results
E above lowest polymorph (meV per atom): 252
Magnetization (μB/atom): 0.000
Energy relative to the elements (eV/atom): 0.2767

abc: 5.0444 5.0444 5.0444
angles: 60.00 60.00 60.00
With the nearest neighbours (Å) after each atom.
Atoms (fractional coordinates):
1 Cs 0.0000 0.0000 0.0000  8 Pt 3.09
2 Zr 0.5000 0.5000 0.5000  8 Pt 3.09
3 Pt 0.2500 0.2500 0.2500  4 Zr 3.09, 4 Cs 3.09
4 Pt 0.7500 0.7500 0.7500  4 Zr 3.09, 4 Cs 3.09


10.
A relaxed CsZrPt2 crystal. Source: Alexandria, functional PBE-GGA.

Results
E above lowest polymorph (meV per atom): 0
Magnetization (μB/atom): 0.000
Energy relative to the elements (eV/atom): 0.0248

abc: 6.9008 6.9008 6.9008
angles: 110.78 110.78 106.88
With the nearest neighbours (Å) after each atom.
Atoms (fractional coordinates):
1 Cs 0.0000 0.0000 0.0000  4 Pt 3.41
2 Cs 0.7500 0.2500 0.5000  4 Pt 3.41
3 Zr 0.2500 0.7500 0.5000  4 Pt 2.58
4 Zr 0.5000 0.5000 0.0000  4 Pt 2.58
5 Pt 0.2054 0.6250 0.0804  2 Zr 2.58
6 Pt 0.3750 0.4554 0.5804  2 Zr 2.58
7 Pt 0.5446 0.1250 0.9196  2 Zr 2.58
8 Pt 0.8750 0.7946 0.4196  2 Zr 2.58


11.
A relaxed CsZrPt3 crystal. Source: Alexandria, functional PBE-GGA.

Results
E above lowest polymorph (meV per atom): 1596
Magnetization (μB/atom): 0.130
Energy relative to the elements (eV/atom): 1.8848

abc: 5.1087 5.1087 5.1087
angles: 90.00 90.00 90.00
With the nearest neighbours (Å) after each atom.
Atoms (fractional coordinates):
1 Cs 0.0000 0.0000 0.0000  6 Pt 2.55
2 Zr 0.5000 0.5000 0.5000  12 Pt 3.61
3 Pt 0.0000 0.0000 0.5000  2 Cs 2.55
4 Pt 0.0000 0.5000 0.0000  2 Cs 2.55
5 Pt 0.5000 0.0000 0.0000  2 Cs 2.55


12.
A relaxed CsZrPt3 crystal. Source: Alexandria, functional PBE-GGA.

Results
E above lowest polymorph (meV per atom): 0
Magnetization (μB/atom): 0.000
Energy relative to the elements (eV/atom): 0.2885

abc: 5.1997 5.1997 5.1997
angles: 90.00 90.00 90.00
With the nearest neighbours (Å) after each atom.
Atoms (fractional coordinates):
1 Cs 0.0000 0.0000 0.0000  12 Pt 3.68
2 Zr 0.5000 0.5000 0.5000  6 Pt 2.60
3 Pt 0.0000 0.5000 0.5000  2 Zr 2.60
4 Pt 0.5000 0.0000 0.5000  2 Zr 2.60
5 Pt 0.5000 0.5000 0.0000  2 Zr 2.60